An optimized crystal structure of Ca2AcZnO5. Source: Alexandria, functional PBE-GGA.

Lattice parameters (Å, degrees): 6.5593 6.5593 7.3439 116.52 116.52 90.00
Last column: nearest neighbours and their distance in Å.
Fractional coordinates of all 18 atoms:
Ac 0.7500 0.7500 0.5000  10 O 2.77-2.85
Ca 0.1674 0.3326 0.0000  4 O 2.27-2.44
O 0.0191 0.5191 0.7203  1 Zn 1.94
Ca 0.8326 0.6674 0.0000  4 O 2.27-2.44
Zn 0.7500 0.2500 0.5000  4 O 1.94
O 0.0000 0.0000 0.0000  4 Ca 2.44
O 0.9809 0.4809 0.2797  1 Zn 1.94
Zn 0.2500 0.7500 0.5000  4 O 1.94
Ca 0.6674 0.1674 0.0000  4 O 2.27-2.44
O 0.5191 0.7012 0.7203  1 Zn 1.94
O 0.7988 0.9809 0.2797  1 Zn 1.94
Ca 0.3326 0.8326 0.0000  4 O 2.27-2.44
O 0.5000 0.5000 0.0000  4 Ca 2.44
O 0.2988 0.7988 0.2797  1 Zn 1.94
O 0.2012 0.0191 0.7203  1 Zn 1.94
O 0.4809 0.2988 0.2797  1 Zn 1.94
Ac 0.2500 0.2500 0.5000  10 O 2.77-2.85
O 0.7012 0.2012 0.7203  1 Zn 1.94

Properties
Fermi-level density of states = 12.647 states/eV per cell
E_form (uncorrected) = -2461 meV/atom
final energy = -6.258 eV per atom